Entry from Alexandria via LeMat-Bulk: crystalline Pm5Dy3Tl at its relaxed geometry (GGA-PBE).

Summary:
* energy relative to the elements: 391 meV per atom

CIF file:
```
data_Pm5Dy3Tl
_chemical_formula_sum 'Pm20 Dy12 Tl4'
_cell_length_a 13.775
_cell_length_b 8.044
_cell_length_c 11.399
_cell_angle_alpha 90.00
_cell_angle_beta 96.15
_cell_angle_gamma 90.00
_space_group_name_H-M_alt 'C 1 2/m 1'
_space_group_IT_number 12
_space_group_name_Hall '-C 2y'
loop_
_atom_site_label
_atom_site_fract_x
_atom_site_fract_y
_atom_site_fract_z
Pm1 0.000 0.168 0.000
Pm2 0.008 0.000 0.370
Pm3 0.126 0.287 0.754
Pm4 0.238 0.500 0.037
Dy1 0.000 0.500 0.000
Dy2 0.000 0.500 0.500
Dy3 0.169 0.000 0.217
Dy4 0.242 0.000 0.526
Tl1 0.097 0.500 0.259
```

Entry from Alexandria via LeMat-Bulk: crystalline Pm3Dy4Tl at its relaxed geometry (GGA-PBE).

Summary:
* energy relative to the elements: -57 meV per atom
* excess energy over the best structure of this formula in the dataset: 0.0 meV per atom

CIF file:
```
data_Pm3Dy4Tl
_chemical_formula_sum 'Pm6 Dy8 Tl2'
_cell_length_a 11.457
_cell_length_b 6.195
_cell_length_c 7.065
_cell_angle_alpha 90.00
_cell_angle_beta 90.00
_cell_angle_gamma 90.00
_space_group_name_H-M_alt 'P m n 21'
_space_group_IT_number 31
_space_group_name_Hall 'P 2ac -2'
loop_
_atom_site_label
_atom_site_fract_x
_atom_site_fract_y
_atom_site_fract_z
Pm1 0.000 0.153 0.000
Pm2 0.247 0.503 0.002
Dy1 0.000 0.165 0.503
Dy2 0.000 0.678 0.258
Dy3 0.248 0.987 0.752
Tl1 0.000 0.663 0.745
```

Entry from Alexandria via LeMat-Bulk: crystalline Pm2Dy5Tl4 at its relaxed geometry (GGA-PBE).

Summary:
* energy relative to the elements: -69 meV per atom

CIF file:
```
data_Pm2Dy5Tl4
_chemical_formula_sum 'Pm4 Dy10 Tl8'
_cell_length_a 3.725
_cell_length_b 8.969
_cell_length_c 20.971
_cell_angle_alpha 90.00
_cell_angle_beta 90.00
_cell_angle_gamma 90.00
_space_group_name_H-M_alt 'I m m m'
_space_group_IT_number 71
_space_group_name_Hall '-I 2 2'
loop_
_atom_site_label
_atom_site_fract_x
_atom_site_fract_y
_atom_site_fract_z
Pm1 0.000 0.000 0.082
Dy1 0.000 0.203 0.347
Dy2 0.000 0.500 0.000
Tl1 0.000 0.000 0.226
Tl2 0.000 0.270 0.500
```

Entry from Alexandria via LeMat-Bulk: crystalline PmDy5Tl8 at its relaxed geometry (GGA-PBE).

Summary:
* energy relative to the elements: -244 meV per atom

CIF file:
```
data_PmDy5Tl8
_chemical_formula_sum 'Pm2 Dy10 Tl16'
_cell_length_a 9.258
_cell_length_b 9.258
_cell_length_c 9.394
_cell_angle_alpha 90.00
_cell_angle_beta 90.00
_cell_angle_gamma 90.00
_space_group_name_H-M_alt 'I -4'
_space_group_IT_number 82
_space_group_name_Hall 'I -4'
loop_
_atom_site_label
_atom_site_fract_x
_atom_site_fract_y
_atom_site_fract_z
Pm1 0.000 0.000 0.000
Dy1 0.000 0.500 0.250
Dy2 0.129 0.251 0.629
Tl1 0.083 0.167 0.300
Tl2 0.083 0.337 0.957
```

Entry from Alexandria via LeMat-Bulk: crystalline Pm3Dy4Tl2 at its relaxed geometry (GGA-PBE).

Summary:
* energy relative to the elements: -111 meV per atom

CIF file:
```
data_Pm3Dy4Tl2
_chemical_formula_sum 'Pm6 Dy8 Tl4'
_cell_length_a 15.331
_cell_length_b 4.985
_cell_length_c 7.659
_cell_angle_alpha 90.00
_cell_angle_beta 109.09
_cell_angle_gamma 90.00
_space_group_name_H-M_alt 'C 1 2/m 1'
_space_group_IT_number 12
_space_group_name_Hall '-C 2y'
loop_
_atom_site_label
_atom_site_fract_x
_atom_site_fract_y
_atom_site_fract_z
Pm1 0.000 0.000 0.000
Pm2 0.115 0.000 0.675
Dy1 0.059 0.500 0.333
Dy2 0.221 0.000 0.314
Tl1 0.157 0.500 0.000
```

Entry from Alexandria via LeMat-Bulk: crystalline PmDyTl3 at its relaxed geometry (GGA-PBE).

Summary:
* energy relative to the elements: -106 meV per atom

CIF file:
```
data_PmDyTl3
_chemical_formula_sum 'Pm2 Dy2 Tl6'
_cell_length_a 7.4122
_cell_length_b 7.4122
_cell_length_c 6.4970
_cell_angle_alpha 90.00
_cell_angle_beta 90.00
_cell_angle_gamma 120.00
_space_group_name_H-M_alt 'P 63/m m c'
_space_group_IT_number 194
_space_group_name_Hall '-P 6c 2c'
loop_
_atom_site_label
_atom_site_fract_x
_atom_site_fract_y
_atom_site_fract_z
Pm1 0.3333 0.6667 0.2500
Dy1 0.0000 0.0000 0.0000
Tl1 0.1994 0.3988 0.7500
```

Entry from Alexandria via LeMat-Bulk: crystalline Pm3DyTl at its relaxed geometry (GGA-PBE).

Summary:
* energy relative to the elements: -130 meV per atom
* excess energy over the best structure of this formula in the dataset: 0.0 meV per atom

CIF file:
```
data_Pm3DyTl
_chemical_formula_sum 'Pm12 Dy4 Tl4'
_cell_length_a 4.888
_cell_length_b 25.789
_cell_length_c 4.897
_cell_angle_alpha 90.00
_cell_angle_beta 90.00
_cell_angle_gamma 90.00
_space_group_name_H-M_alt 'C m c m'
_space_group_IT_number 63
_space_group_name_Hall '-C 2c 2'
loop_
_atom_site_label
_atom_site_fract_x
_atom_site_fract_y
_atom_site_fract_z
Pm1 0.000 0.052 0.250
Pm2 0.000 0.251 0.250
Pm3 0.000 0.447 0.250
Dy1 0.000 0.349 0.750
Tl1 0.000 0.153 0.750
```

Entry from Alexandria via LeMat-Bulk: crystalline PmDy3Tl5 at its relaxed geometry (GGA-PBE).

Summary:
* energy relative to the elements: -290 meV per atom

CIF file:
```
data_PmDy3Tl5
_chemical_formula_sum 'Pm2 Dy6 Tl10'
_cell_length_a 9.4142
_cell_length_b 9.4142
_cell_length_c 6.5705
_cell_angle_alpha 90.00
_cell_angle_beta 90.00
_cell_angle_gamma 120.00
_space_group_name_H-M_alt 'P 63/m c m'
_space_group_IT_number 193
_space_group_name_Hall '-P 6c 2'
loop_
_atom_site_label
_atom_site_fract_x
_atom_site_fract_y
_atom_site_fract_z
Pm1 0.0000 0.0000 0.0000
Dy1 0.0000 0.3672 0.2500
Tl1 0.0000 0.3040 0.7500
Tl2 0.3333 0.6667 0.0000
```

Entry from Alexandria via LeMat-Bulk: crystalline PmDy4Tl7 at its relaxed geometry (GGA-PBE).

Summary:
* energy relative to the elements: -115 meV per atom

CIF file:
```
data_PmDy4Tl7
_chemical_formula_sum 'Pm2 Dy8 Tl14'
_cell_length_a 13.402
_cell_length_b 5.734
_cell_length_c 11.463
_cell_angle_alpha 90.00
_cell_angle_beta 123.78
_cell_angle_gamma 90.00
_space_group_name_H-M_alt 'C 1 2/m 1'
_space_group_IT_number 12
_space_group_name_Hall '-C 2y'
loop_
_atom_site_label
_atom_site_fract_x
_atom_site_fract_y
_atom_site_fract_z
Pm1 0.000 0.000 0.000
Dy1 0.086 0.500 0.783
Dy2 0.220 0.500 0.329
Tl1 0.000 0.500 0.000
Tl2 0.080 0.000 0.328
Tl3 0.134 0.500 0.544
Tl4 0.215 0.000 0.896
```

Entry from Alexandria via LeMat-Bulk: crystalline Pm3Dy2Tl4 at its relaxed geometry (GGA-PBE).

Summary:
* energy relative to the elements: -306 meV per atom
* excess energy over the best structure of this formula in the dataset: 0.0 meV per atom

CIF file:
```
data_Pm3Dy2Tl4
_chemical_formula_sum 'Pm6 Dy4 Tl8'
_cell_length_a 9.298
_cell_length_b 5.373
_cell_length_c 10.520
_cell_angle_alpha 90.00
_cell_angle_beta 90.05
_cell_angle_gamma 90.00
_space_group_name_H-M_alt 'C 1 2/m 1'
_space_group_IT_number 12
_space_group_name_Hall '-C 2y'
loop_
_atom_site_label
_atom_site_fract_x
_atom_site_fract_y
_atom_site_fract_z
Pm1 0.000 0.000 0.000
Pm2 0.167 0.500 0.421
Dy1 0.167 0.500 0.778
Tl1 0.000 0.000 0.344
Tl2 0.166 0.500 0.102
```

Entry from Alexandria via LeMat-Bulk: crystalline Pm2DyTl4 at its relaxed geometry (GGA-PBE).

Summary:
* energy relative to the elements: -233 meV per atom
* excess energy over the best structure of this formula in the dataset: 14.8 meV per atom

CIF file:
```
data_Pm2DyTl4
_chemical_formula_sum 'Pm4 Dy2 Tl8'
_cell_length_a 7.397
_cell_length_b 7.397
_cell_length_c 8.033
_cell_angle_alpha 90.00
_cell_angle_beta 90.00
_cell_angle_gamma 90.00
_space_group_name_H-M_alt 'I 4/m m m'
_space_group_IT_number 139
_space_group_name_Hall '-I 4 2'
loop_
_atom_site_label
_atom_site_fract_x
_atom_site_fract_y
_atom_site_fract_z
Pm1 0.000 0.500 0.000
Dy1 0.000 0.000 0.000
Tl1 0.250 0.250 0.250
```

Entry from Alexandria via LeMat-Bulk: crystalline Pm4DyTl at its relaxed geometry (GGA-PBE).

Summary:
* energy relative to the elements: 336 meV per atom
* excess energy over the best structure of this formula in the dataset: 438.7 meV per atom

CIF file:
```
data_Pm4DyTl
_chemical_formula_sum 'Pm8 Dy2 Tl2'
_cell_length_a 7.615
_cell_length_b 7.615
_cell_length_c 7.629
_cell_angle_alpha 90.00
_cell_angle_beta 90.06
_cell_angle_gamma 90.00
_space_group_name_H-M_alt 'C 1 2/m 1'
_space_group_IT_number 12
_space_group_name_Hall '-C 2y'
loop_
_atom_site_label
_atom_site_fract_x
_atom_site_fract_y
_atom_site_fract_z
Pm1 0.250 0.250 0.245
Dy1 0.000 0.000 0.500
Tl1 0.000 0.500 0.000
```

| no. | mass density (g cm⁻³) | E_tot (eV/atom) | V (Å³/cell) |
| --- | --- | --- | --- |
| 1 | 7.49 | -4.045 | 1255.9 |
| 2 | 8.54 | -4.435 | 501.5 |
| 3 | 9.10 | -3.885 | 700.6 |
| 4 | 10.69 | -3.579 | 805.1 |
| 5 | 8.97 | -4.266 | 553.2 |
| 6 | 9.89 | -3.396 | 309.1 |
| 7 | 8.63 | -4.374 | 617.2 |
| 8 | 10.89 | -3.666 | 504.3 |
| 9 | 10.10 | -3.426 | 732.2 |
| 10 | 9.97 | -3.964 | 525.6 |
| 11 | 9.60 | -3.600 | 439.5 |
| 12 | 7.11 | -3.992 | 442.4 |